Entry 1:
Compound: Gd2YAl3AgPt2
Source: the Open Quantum Materials Database
Functional: GGA-PBE
Structure: relaxed

Lattice parameters (Å, degrees): 3.9362 12.7823 7.3768 90.00 90.00 90.00
Space group Amm2 (No. 38)
One atom of each set of equivalent atoms:
Gd: 0.0000 0.2079 0.0000 x4
Y: 0.0000 0.0000 0.3769 x2
Al: 0.5000 0.0000 0.0501 x2
Al: 0.5000 0.1279 0.6628 x4
Ag: 0.0000 0.0000 0.7920 x2
Pt: 0.5000 0.1667 0.2918 x4

## Properties
E_tot ... -5.522 eV/atom
Calculated density ... 8.790 g cm⁻³

Entry 2:
Compound: NaZr3Se5
Source: the Open Quantum Materials Database
Functional: GGA-PBE
Structure: relaxed

Lattice parameters (Å, degrees): 6.2115 6.2115 7.4929 90.00 90.00 120.00
Space group P6/mmm (No. 191)
One atom of each set of equivalent atoms:
Na: 0.0000 0.0000 0.0000 x1
Zr: 0.0000 0.5000 0.5000 x3
Se: 0.0000 0.0000 0.5000 x1
Se: 0.3333 0.6667 0.2306 x4

## Properties
E_tot ... -6.021 eV/atom
Calculated density ... 4.586 g cm⁻³

Entry 3:
Compound: Pt
Source: the Open Quantum Materials Database
Functional: GGA-PBE
Structure: relaxed

Lattice parameters (Å, degrees): 5.0414 5.0414 5.0414 90.00 90.00 90.00
Space group Pm-3n (No. 223)
One atom of each set of equivalent atoms:
Pt: 0.0000 0.0000 0.0000 x2
Pt: 0.0000 0.2500 0.5000 x6

## Properties
E_tot ... -5.799 eV/atom
Calculated density ... 20.226 g cm⁻³
ΔH_f (0 K) ... 0.257 eV per atom

Entry 4:
Compound: CuNiAgMo
Source: the Open Quantum Materials Database
Functional: GGA-PBE
Structure: relaxed

Lattice parameters (Å, degrees): 6.0918 6.0918 6.0918 90.00 90.00 90.00
Space group F-43m (No. 216)
One atom of each set of equivalent atoms:
Cu: 0.0000 0.0000 0.0000 x4
Ni: 0.2500 0.2500 0.2500 x4
Ag: 0.2500 0.2500 0.7500 x4
Mo: 0.0000 0.0000 0.5000 x4

## Properties
E_tot ... -5.267 eV/atom
Calculated density ... 9.580 g cm⁻³
ΔH_f (0 K) ... 0.472 eV per atom

Entry 5:
Compound: NdPuIn
Source: the Open Quantum Materials Database
Functional: GGA-PBE
Structure: relaxed

Lattice parameters (Å, degrees): 7.4870 7.4870 7.4870 90.00 90.00 90.00
Space group F-43m (No. 216)
One atom of each set of equivalent atoms:
Nd: 0.0000 0.0000 0.0000 x4
Pu: 0.0000 0.0000 0.5000 x4
In: 0.2500 0.2500 0.2500 x4

## Properties
E_tot ... -7.102 eV/atom
Calculated density ... 7.962 g cm⁻³

Entry 6:
Compound: RbSnOs
Source: the Open Quantum Materials Database
Functional: GGA-PBE
Structure: relaxed

Lattice parameters (Å, degrees): 7.3414 7.3414 7.3414 90.00 90.00 90.00
Space group F-43m (No. 216)
One atom of each set of equivalent atoms:
Rb: 0.0000 0.0000 0.0000 x4
Sn: 0.2500 0.2500 0.2500 x4
Os: 0.2500 0.2500 0.7500 x4

## Properties
E_tot ... -3.047 eV/atom
Calculated density ... 6.621 g cm⁻³

Entry 7:
Compound: YAgSnSe2S
Source: the Open Quantum Materials Database
Functional: GGA-PBE
Structure: relaxed

Lattice parameters (Å, degrees): 4.0841 13.5990 10.3075 90.00 90.00 90.00
Space group Cmcm (No. 63)
One atom of each set of equivalent atoms:
Y: 0.0000 0.0000 0.0000 x4
Ag: 0.0000 0.4715 0.2500 x4
Sn: 0.0000 0.2601 0.7500 x4
Se: 0.0000 0.3527 0.0517 x8
S: 0.0000 0.0876 0.2500 x4

## Properties
E_tot ... -4.984 eV/atom
Calculated density ... 5.865 g cm⁻³

Entry 8:
Compound: Zn2CuGe
Source: the Open Quantum Materials Database
Functional: GGA-PBE
Structure: relaxed

Lattice parameters (Å, degrees): 6.2604 6.2604 6.2604 90.00 90.00 90.00
Space group F-43m (No. 216)
One atom of each set of equivalent atoms:
Zn: 0.0000 0.0000 0.0000 x4
Zn: 0.2500 0.2500 0.2500 x4
Cu: 0.2500 0.2500 0.7500 x4
Ge: 0.0000 0.0000 0.5000 x4

## Properties
E_tot ... -2.537 eV/atom
Calculated density ... 7.228 g cm⁻³

Entry 9:
Compound: BaTmPO
Source: the Open Quantum Materials Database
Functional: GGA-PBE
Structure: relaxed

Lattice parameters (Å, degrees): 4.6995 4.6995 9.8809 90.00 90.00 90.00
Space group P4/nmm (No. 129, origin choice 2)
One atom of each set of equivalent atoms:
Ba: 0.2500 0.7500 0.0000 x2
Tm: 0.2500 0.2500 0.4510 x2
P: 0.2500 0.2500 0.1914 x2
O: 0.2500 0.7500 0.5000 x2

## Properties
E_tot ... -5.768 eV/atom
Calculated density ... 5.376 g cm⁻³

Entry 10:
Compound: ScCu2Pd
Source: the Open Quantum Materials Database
Functional: GGA-PBE
Structure: relaxed

Lattice parameters (Å, degrees): 6.2229 6.2229 6.2229 90.00 90.00 90.00
Space group F-43m (No. 216)
One atom of each set of equivalent atoms:
Sc: 0.0000 0.0000 0.0000 x4
Cu: 0.0000 0.0000 0.5000 x4
Cu: 0.2500 0.2500 0.7500 x4
Pd: 0.2500 0.2500 0.2500 x4

## Properties
E_tot ... -5.118 eV/atom
Calculated density ... 7.675 g cm⁻³
ΔH_f (0 K) ... -0.383 eV per atom

Entry 11:
Compound: Pr2Sm2CICl4
Source: the Open Quantum Materials Database
Functional: GGA-PBE
Structure: relaxed

Lattice parameters (Å, degrees): 17.5740 3.9604 8.9393 90.00 104.30 90.00
Space group C2/m (No. 12)
One atom of each set of equivalent atoms:
Pr: 0.0009 0.0000 0.3043 x4
Sm: 0.1447 0.5000 0.5747 x4
C: 0.0000 0.5000 0.5000 x2
I: 0.0000 0.5000 0.0000 x2
Cl: 0.1683 0.0000 0.7993 x4
Cl: 0.1730 0.0000 0.3680 x4

## Properties
E_tot ... -5.294 eV/atom
Calculated density ... 4.755 g cm⁻³

Entry 12:
Compound: Na2Hg
Source: the Open Quantum Materials Database
Functional: GGA-PBE
Structure: relaxed

Lattice parameters (Å, degrees): 8.5548 8.5548 8.5548 90.00 90.00 90.00
Space group Fd-3m (No. 227, origin choice 2)
One atom of each set of equivalent atoms:
Na: 0.0000 0.0000 0.0000 x16
Hg: 0.1250 0.1250 0.6250 x8

## Properties
E_tot ... -0.960 eV/atom
Calculated density ... 5.232 g cm⁻³

Entry 13:
Compound: DyHo2Hg5
Source: the Open Quantum Materials Database
Functional: GGA-PBE
Structure: relaxed

Lattice parameters (Å, degrees): 5.0945 7.2298 10.5157 90.00 90.00 90.00
Space group Amm2 (No. 38)
One atom of each set of equivalent atoms:
Dy: 0.0000 0.0000 0.0000 x2
Ho: 0.0000 0.0000 0.5585 x2
Ho: 0.5000 0.0000 0.2494 x2
Hg: 0.0000 0.2206 0.2828 x4
Hg: 0.5000 0.0000 0.7550 x2
Hg: 0.5000 0.2429 0.4984 x4

## Properties
E_tot ... -2.317 eV/atom
Calculated density ... 12.822 g cm⁻³
ΔH_f (0 K) ... -0.411 eV per atom

Entry 14:
Compound: GdTlB4
Source: the Open Quantum Materials Database
Functional: GGA-PBE
Structure: relaxed

Lattice parameters (Å, degrees): 3.2353 5.3582 8.5537 90.00 90.00 90.00
Space group Immm (No. 71)
One atom of each set of equivalent atoms:
Gd: 0.0000 0.0000 0.0000 x2
Tl: 0.0000 0.0000 0.5000 x2
B: 0.0000 0.3250 0.2613 x8

## Properties
E_tot ... -5.572 eV/atom
Calculated density ... 9.068 g cm⁻³

Entry 15:
Compound: TbGaCuNi3
Source: the Open Quantum Materials Database
Functional: GGA-PBE
Structure: relaxed

Lattice parameters (Å, degrees): 5.1276 5.1276 3.8563 90.00 90.00 120.00
Space group P-6m2 (No. 187)
One atom of each set of equivalent atoms:
Tb: 0.0000 0.0000 0.0000 x1
Ga: 0.6667 0.3333 0.0000 x1
Cu: 0.3333 0.6667 0.0000 x1
Ni: 0.0029 0.5014 0.5000 x3

## Properties
E_tot ... -5.104 eV/atom
Calculated density ... 8.856 g cm⁻³

Entry 16:
Compound: NpNiIr
Source: the Open Quantum Materials Database
Functional: GGA-PBE
Structure: relaxed

Lattice parameters (Å, degrees): 6.1525 6.1525 6.1525 90.00 90.00 90.00
Space group F-43m (No. 216)
One atom of each set of equivalent atoms:
Np: 0.0000 0.0000 0.0000 x4
Ni: 0.2500 0.2500 0.2500 x4
Ir: 0.2500 0.2500 0.7500 x4

## Properties
E_tot ... -8.619 eV/atom
Calculated density ... 13.916 g cm⁻³
ΔH_f (0 K) ... 0.445 eV per atom

Entry 17:
Compound: TbSi2Ag4
Source: the Open Quantum Materials Database
Functional: GGA-PBE
Structure: relaxed

Lattice parameters (Å, degrees): 4.2229 14.3962 4.2162 90.00 90.00 90.00
Space group Cmmm (No. 65)
One atom of each set of equivalent atoms:
Tb: 0.0000 0.0000 0.0000 x2
Si: 0.0000 0.4205 0.5000 x4
Ag: 0.0000 0.1780 0.5000 x4
Ag: 0.0000 0.3212 0.0000 x4

## Properties
E_tot ... -4.095 eV/atom
Calculated density ... 8.377 g cm⁻³

Entry 18:
Compound: NbI2Cl3
Source: the Open Quantum Materials Database
Functional: GGA-PBE
Structure: relaxed

Lattice parameters (Å, degrees): 6.7411 7.3800 10.0513 108.36 92.39 112.97
Space group P-1 (No. 2)
One atom of each set of equivalent atoms:
Nb: 0.0999 0.2069 0.2030 x2
I: 0.0854 0.8125 0.5697 x2
I: 0.4523 0.5701 0.3176 x2
Cl: 0.1146 0.6454 0.8687 x2
Cl: 0.2131 0.1551 0.9572 x2
Cl: 0.2813 0.0048 0.2331 x2

## Properties
E_tot ... -4.016 eV/atom
Calculated density ... 3.506 g cm⁻³

Entry 19:
Compound: NbZnCoAs
Source: the Open Quantum Materials Database
Functional: GGA-PBE
Structure: relaxed

Lattice parameters (Å, degrees): 6.1600 6.1600 6.1600 90.00 90.00 90.00
Space group F-43m (No. 216)
One atom of each set of equivalent atoms:
Nb: 0.0000 0.0000 0.0000 x4
Zn: 0.2500 0.2500 0.7500 x4
Co: 0.0000 0.0000 0.5000 x4
As: 0.2500 0.2500 0.2500 x4

## Properties
E_tot ... -5.689 eV/atom
Calculated density ... 8.302 g cm⁻³

Entry 20:
Compound: HoErInC
Source: the Open Quantum Materials Database
Functional: GGA-PBE
Structure: relaxed

Lattice parameters (Å, degrees): 3.5749 3.5749 16.2179 90.00 90.00 120.00
Space group P-6m2 (No. 187)
One atom of each set of equivalent atoms:
Ho: 0.0000 0.0000 0.1678 x2
Er: 0.3333 0.6667 0.3330 x2
In: 0.0000 0.0000 0.5000 x1
In: 0.3333 0.6667 0.0000 x1
C: 0.6667 0.3333 0.2505 x2

## Properties
E_tot ... -5.689 eV/atom
Calculated density ... 8.493 g cm⁻³